No. 1
LiMoPt: optimized geometry, PBE.

a = 4.6495 Å, b = 4.6495 Å, c = 4.6495 Å
α = 146.17°, β = 128.31°, γ = 63.22°
Sites, in units of the cell vectors:
Li 0.9958 0.9958 0.0000
Mo 0.6712 0.6712 0.0000
Pt 0.3330 0.3330 0.0000

Output
- Energy of formation: -0.093 eV/atom

---

No. 2
LiMo2Pt: optimized geometry, PBE.

a = 3.1339 Å, b = 4.1216 Å, c = 4.5721 Å
α = 90.00°, β = 90.00°, γ = 90.00°
Sites, in units of the cell vectors:
Li 0.0000 0.5000 0.5000
Mo 0.5000 0.5000 0.0000
Mo 0.0000 0.0000 0.0000
Pt 0.5000 0.0000 0.5000

Output
- Energy of formation: -0.014 eV/atom

---

No. 3
LiMo2Pt: optimized geometry, PBE.

a = 7.2318 Å, b = 7.2318 Å, c = 5.6903 Å
α = 50.55°, β = 50.55°, γ = 90.00°
Sites, in units of the cell vectors:
Mo 0.1113 0.6250 0.2500
Mo 0.8750 0.8887 0.7500
Mo 0.6387 0.1250 0.2500
Mo 0.3750 0.3613 0.7500
Li 0.2500 0.7500 0.5000
Li 0.5000 0.5000 0.0000
Pt 0.0000 0.0000 0.0000
Pt 0.7500 0.2500 0.5000

Output
- Energy of formation: 0.511 eV/atom

---

No. 4
LiMoPt: optimized geometry, PBE.

a = 2.7922 Å, b = 2.7922 Å, c = 12.6354 Å
α = 96.34°, β = 96.34°, γ = 90.00°
Sites, in units of the cell vectors:
Pt 0.8693 0.8693 0.7385
Pt 0.1307 0.1307 0.2615
Mo 0.7065 0.7065 0.4130
Mo 0.2935 0.2935 0.5870
Li 0.5595 0.5595 0.1190
Li 0.4405 0.4405 0.8810

Output
- Energy of formation: -0.283 eV/atom

---

No. 5
Li2MoPt: optimized geometry, PBE.

a = 4.7064 Å, b = 4.7064 Å, c = 5.0093 Å
α = 82.75°, β = 82.75°, γ = 33.29°
Sites, in units of the cell vectors:
Li 0.7460 0.7460 0.7880
Li 0.9875 0.9875 0.9762
Pt 0.2579 0.2579 0.2807
Mo 0.5086 0.5086 0.4551

Output
- Energy of formation: -0.042 eV/atom

---

No. 6
Li2MoPt: optimized geometry, PBE.

a = 4.3497 Å, b = 2.6853 Å, c = 5.1916 Å
α = 84.58°, β = 90.00°, γ = 90.00°
Sites, in units of the cell vectors:
Li 0.0000 0.8876 0.0362
Li 0.5000 0.2955 0.1917
Mo 0.0000 0.4291 0.5570
Pt 0.5000 0.8879 0.7152

Output
- Energy of formation: -0.091 eV/atom

---

No. 7
Li2MoPt: optimized geometry, PBE.

a = 2.6831 Å, b = 4.1552 Å, c = 5.5328 Å
α = 90.00°, β = 90.00°, γ = 90.00°
Sites, in units of the cell vectors:
Mo 0.0000 0.0000 0.5408
Li 0.5000 0.5000 0.2219
Li 0.0000 0.0000 0.0149
Pt 0.5000 0.5000 0.7224

Output
- Energy of formation: -0.061 eV/atom

---

No. 8
LiMo2Pt: optimized geometry, PBE.

a = 2.6658 Å, b = 2.6658 Å, c = 8.9379 Å
α = 90.00°, β = 90.00°, γ = 97.94°
Sites, in units of the cell vectors:
Li 0.5000 0.5000 0.7500
Mo 0.0000 0.0000 0.4903
Mo 0.0000 0.0000 0.0097
Pt 0.5000 0.5000 0.2500

Output
- Energy of formation: 0.201 eV/atom

---

No. 9
LiMo2Pt: optimized geometry, PBE.

a = 4.3801 Å, b = 2.6921 Å, c = 5.2633 Å
α = 72.37°, β = 90.00°, γ = 90.00°
Sites, in units of the cell vectors:
Mo 0.0000 0.9946 0.9857
Mo 0.0000 0.5054 0.5143
Li 0.5000 0.7500 0.7500
Pt 0.5000 0.2500 0.2500

Output
- Energy of formation: -0.020 eV/atom

---

No. 10
Li2MoPt: optimized geometry, PBE.

a = 4.4780 Å, b = 4.4780 Å, c = 2.7056 Å
α = 90.00°, β = 90.00°, γ = 90.00°
Sites, in units of the cell vectors:
Mo 0.5000 0.0000 0.5000
Li 0.5000 0.5000 0.0000
Li 0.0000 0.0000 0.0000
Pt 0.0000 0.5000 0.5000

Output
- Energy of formation: 0.265 eV/atom

---

No. 11
LiMo2Pt: optimized geometry, PBE.

a = 3.2157 Å, b = 3.2157 Å, c = 5.7615 Å
α = 90.00°, β = 90.00°, γ = 90.00°
Sites, in units of the cell vectors:
Mo 0.0000 0.0000 0.0037
Mo 0.5000 0.5000 0.2330
Pt 0.0000 0.0000 0.5288
Li 0.5000 0.5000 0.7345

Output
- Energy of formation: 0.004 eV/atom

---

No. 12
Li2MoPt: optimized geometry, PBE.

a = 5.4347 Å, b = 5.4347 Å, c = 2.6789 Å
α = 76.90°, β = 76.90°, γ = 121.26°
Sites, in units of the cell vectors:
Li 0.0000 0.0000 0.0000
Li 0.5000 0.5000 0.0000
Pt 0.0000 0.5000 0.5000
Mo 0.5000 0.0000 0.5000

Output
- Energy of formation: -0.041 eV/atom